Below is crystalline Ba4Sr3CoO8 at its relaxed geometry, with properties calculated at the GGA+U level.

The structure belongs to space group C2/m (No. 12); the cell edges are 13.295, 7.364 and 7.453 Å and the angles 90.00°, 123.69° and 90.00°. The asymmetric unit holds Ba at (0.000, 0.000, 0.000), Ba at (0.000, 0.500, 0.000), Ba at (0.250, 0.250, 0.500), Sr at (0.000, 0.000, 0.500), Sr at (0.250, 0.250, 0.000), Co at (0.000, 0.500, 0.500), O at (0.004, 0.274, 0.719), O at (0.231, 0.000, 0.218) and O at (0.245, 0.000, 0.758).

The calculated total energy comes out at -187.0 eV for the cell shown. The size of the total moment is 0.1811 μB/atom.